# PBE with a Hubbard U CaTmV2O8, relaxed
data_CaTmV2O8
_chemical_formula_sum 'Ca1 Tm1 V2 O8'
_symmetry_space_group_name_H-M 'P 1'
_symmetry_Int_Tables_number 1
_cell_length_a 6.0286
_cell_length_b 6.0286
_cell_length_c 6.0286
_cell_angle_alpha 106.24
_cell_angle_beta 106.24
_cell_angle_gamma 116.15
loop_
_symmetry_equiv_pos_as_xyz
'x,y,z'
loop_
_atom_site_label
_atom_site_fract_x
_atom_site_fract_y
_atom_site_fract_z
V1 0.7500 0.2500 0.5000
Tm1 0.2500 0.7500 0.5000
Ca1 0.0000 0.0000 0.0000
O1 0.8563 0.6644 0.1920
O2 0.9281 0.6098 0.6817
O3 0.3902 0.0719 0.3183
V2 0.5000 0.5000 0.0000
O4 0.9281 0.2463 0.3183
O5 0.4724 0.6644 0.8080
O6 0.3356 0.5276 0.1920
O7 0.7537 0.0719 0.6817
O8 0.3356 0.1437 0.8080
# DOS at the Fermi energy = 0.6420 states/eV/atom
# Calculated density = 4.37 g/cm³
# Uncorrected energy = -7.486 eV/atom